# RbCuTeN2 | Alexandria | PBE-GGA | optimized geometry
# DFT total energy (eV per cell): -13.1
# Crystal system: tetragonal
# Raw formation energy (eV per formula unit): 11.80
# Polymorph energy (0 for the lowest one) (meV/atom): 906
# N(E_F) (states/eV per atom): 1.058
data_RbCuTeN2
_cell_length_a 5.0417
_cell_length_b 5.0417
_cell_length_c 7.2698
_cell_angle_alpha 90.00
_cell_angle_beta 90.00
_cell_angle_gamma 90.00
_symmetry_space_group_name_H-M 'P 4/m m m'
_symmetry_Int_Tables_number 123
_symmetry_space_group_name_Hall '-P 4 2'
loop_
_atom_site_label
_atom_site_type_symbol
_atom_site_fract_x
_atom_site_fract_y
_atom_site_fract_z
_atom_site_occupancy
Rb1 Rb 0.0000 0.0000 0.0000 1
Cu1 Cu 0.5000 0.5000 0.5000 1
Te1 Te 0.0000 0.0000 0.5000 1
N1 N 0.0000 0.5000 0.0000 1



# Li3Hg2Pd2 | Alexandria | PBE-GGA | optimized geometry
# DFT total energy (eV per cell): -19.4
# Crystal system: triclinic
# Polymorph energy (0 for the lowest one) (meV/atom): 0
# E_form (eV/atom): -0.382
# N(E_F) (states/eV per atom): 0.393
data_Li3Hg2Pd2
_cell_length_a 4.0498
_cell_length_b 4.9282
_cell_length_c 6.4160
_cell_angle_alpha 96.85
_cell_angle_beta 90.01
_cell_angle_gamma 114.04
_symmetry_space_group_name_H-M 'P -1'
_symmetry_Int_Tables_number 2
loop_
_symmetry_equiv_pos_as_xyz
'x,y,z'
'-x,-y,-z'
loop_
_atom_site_label
_atom_site_type_symbol
_atom_site_fract_x
_atom_site_fract_y
_atom_site_fract_z
_atom_site_occupancy
Li1 Li 0.0000 0.0000 0.0000 1
Li2 Li 0.1480 0.2970 0.4220 1
Hg1 Hg 0.4273 0.8565 0.2776 1
Pd1 Pd 0.2815 0.5651 0.8518 1



# Ba2YAl2 | Alexandria | PBE-GGA | optimized geometry
# DFT total energy (eV per cell): -35.5
# Crystal system: tetragonal
# E_form (eV/atom): 0.005
# N(E_F) (states/eV per atom): 1.825
data_Ba2YAl2
_cell_length_a 8.0849
_cell_length_b 8.0849
_cell_length_c 5.5140
_cell_angle_alpha 90.00
_cell_angle_beta 90.00
_cell_angle_gamma 90.00
_symmetry_space_group_name_H-M 'P 4/m b m'
_symmetry_Int_Tables_number 127
_symmetry_space_group_name_Hall '-P 4 2ab'
loop_
_atom_site_label
_atom_site_type_symbol
_atom_site_fract_x
_atom_site_fract_y
_atom_site_fract_z
_atom_site_occupancy
Ba1 Ba 0.1768 0.3232 0.0000 1
Y1 Y 0.0000 0.0000 0.5000 1
Al1 Al 0.1171 0.6171 0.5000 1



# K2BaBiP | Alexandria | PBE-GGA | optimized geometry
# DFT total energy (eV per cell): -11.0
# Crystal system: tetragonal
# E_form (eV/atom): 0.479
# N(E_F) (states/eV per atom): 0.795
data_K2BaBiP
_cell_length_a 7.2324
_cell_length_b 7.2324
_cell_length_c 5.4416
_cell_angle_alpha 90.00
_cell_angle_beta 90.00
_cell_angle_gamma 90.00
_symmetry_space_group_name_H-M 'P 4/m m m'
_symmetry_Int_Tables_number 123
_symmetry_space_group_name_Hall '-P 4 2'
loop_
_atom_site_label
_atom_site_type_symbol
_atom_site_fract_x
_atom_site_fract_y
_atom_site_fract_z
_atom_site_occupancy
K1 K 0.0000 0.5000 0.0000 1
Ba1 Ba 0.0000 0.0000 0.0000 1
Bi1 Bi 0.5000 0.5000 0.5000 1
P1 P 0.0000 0.0000 0.5000 1



# SrErC2O6 | Alexandria | PBE-GGA | optimized geometry
# DFT total energy (eV per cell): -302.6
# Crystal system: monoclinic
# Raw formation energy (eV per formula unit): -21.22
# N(E_F) (states/eV per atom): 0.180
data_SrErC2O6
_cell_length_a 7.9655
_cell_length_b 9.7343
_cell_length_c 6.8186
_cell_angle_alpha 90.00
_cell_angle_beta 109.57
_cell_angle_gamma 90.00
_symmetry_space_group_name_H-M 'C 1 2/c 1'
_symmetry_Int_Tables_number 15
loop_
_symmetry_equiv_pos_as_xyz
'x,y,z'
'-x,-y,-z'
'-x,y,-z+1/2'
'x,-y,z+1/2'
'x+1/2,y+1/2,z'
'-x+1/2,-y+1/2,-z'
'-x+1/2,y+1/2,-z+1/2'
'x+1/2,-y+1/2,z+1/2'
loop_
_atom_site_label
_atom_site_type_symbol
_atom_site_fract_x
_atom_site_fract_y
_atom_site_fract_z
_atom_site_occupancy
Sr1 Sr 0.0000 0.1394 0.2500 1
Er1 Er 0.0000 0.4159 0.7500 1
C1 C 0.2436 0.1232 0.7496 1
O1 O 0.0932 0.3836 0.1056 1
O2 O 0.1715 0.2445 0.6938 1
O3 O 0.2034 0.0183 0.6163 1



# NiMoS2 | Alexandria | PBE-GGA | optimized geometry
# DFT total energy (eV per cell): -99.1
# Crystal system: cubic
# Raw formation energy (eV per formula unit): 0.09
# Polymorph energy (0 for the lowest one) (meV/atom): 339
# N(E_F) (states/eV per atom): 0.562
data_NiMoS2
_cell_length_a 5.9919
_cell_length_b 5.9919
_cell_length_c 5.9919
_cell_angle_alpha 90.00
_cell_angle_beta 90.00
_cell_angle_gamma 90.00
_symmetry_space_group_name_H-M 'F m -3 m'
_symmetry_Int_Tables_number 225
_symmetry_space_group_name_Hall '-F 4 2 3'
loop_
_atom_site_label
_atom_site_type_symbol
_atom_site_fract_x
_atom_site_fract_y
_atom_site_fract_z
_atom_site_occupancy
Ni1 Ni 0.0000 0.0000 0.0000 1
Mo1 Mo 0.0000 0.0000 0.5000 1
S1 S 0.2500 0.2500 0.2500 1